1.
LiAl5Ag3: optimized geometry, PBE.

Cell and atoms, written as extended XYZ:
```
18
Lattice="5.411 -3.640 0.000 5.411 3.640 0.000 -0.873 0.000 9.380" Properties=species:S:1:pos:R:3 pbc="T T T"
Li 1.256 0.000 2.717
Li 8.694 0.000 6.664
Al 3.059 2.224 3.551
Al 2.550 0.000 0.333
Al 5.411 1.247 0.000
Al 6.891 2.224 5.830
Al 3.718 0.000 5.046
Al 6.232 0.000 4.334
Al 3.059 -2.224 3.551
Al 5.411 -1.247 0.000
Al 7.400 0.000 9.047
Al 6.891 -2.224 5.830
Ag 0.000 0.000 0.000
Ag -0.436 0.000 4.690
Ag 3.003 0.000 7.537
Ag 4.137 0.000 2.402
Ag 5.813 0.000 6.978
Ag 6.947 0.000 1.844
```

Its density of states at the Fermi level is 5.2 states/eV per cell. For the energy of formation from the pure elements, the calculation gives 0.139 eV per atom. For the total magnetic moment, the calculation gives 0.000 μB/atom. The total energy comes out at -27.93 eV per formula unit.

---

2.
LiAl2Ag3: optimized geometry, PBE.

Cell and atoms, written as extended XYZ:
```
12
Lattice="4.195 0.000 0.000 0.000 12.345 0.000 0.000 0.000 3.780" Properties=species:S:1:pos:R:3 pbc="T T T"
Li 0.000 0.000 0.000
Li 2.098 6.173 0.000
Al 0.000 4.108 0.000
Al 0.000 8.237 0.000
Al 2.098 2.064 0.000
Al 2.098 10.281 0.000
Ag 0.000 2.036 1.890
Ag 0.000 6.173 1.890
Ag 0.000 10.310 1.890
Ag 2.098 0.000 1.890
Ag 2.098 4.137 1.890
Ag 2.098 8.208 1.890
```

Its density of states at the Fermi level is 4.7 states/eV per cell. For the energy of formation from the pure elements, the calculation gives -0.138 eV per atom. For the total magnetic moment, the calculation gives 0.000 μB/atom. The total energy comes out at -18.78 eV per formula unit.

---

3.
LiAl2Ag8: optimized geometry, PBE.

Cell and atoms, written as extended XYZ:
```
11
Lattice="3.743 -6.014 0.000 3.743 6.014 0.000 -1.942 0.000 4.366" Properties=species:S:1:pos:R:3 pbc="T T T"
Li 0.000 0.000 0.000
Al 2.773 2.295 2.183
Al 2.773 -2.295 2.183
Ag 0.343 1.425 2.704
Ag 3.743 3.399 0.000
Ag 0.343 -1.425 2.704
Ag 2.555 0.000 0.804
Ag 2.990 0.000 3.562
Ag 5.202 1.425 1.662
Ag 3.743 -3.399 0.000
Ag 5.202 -1.425 1.662
```

Its density of states at the Fermi level is 2.2 states/eV per cell. For the energy of formation from the pure elements, the calculation gives -0.002 eV per atom. For the total magnetic moment, the calculation gives 0.000 μB/atom. The total energy comes out at -32.23 eV per formula unit.

---

4.
LiAl3Ag: optimized geometry, PBE.

Cell and atoms, written as extended XYZ:
```
20
Lattice="7.338 0.000 0.000 0.000 4.829 0.000 -3.319 0.000 9.195" Properties=species:S:1:pos:R:3 pbc="T T T"
Li 0.983 1.204 1.259
Li -0.677 1.211 5.857
Li 4.696 3.618 3.338
Li 3.037 3.625 7.936
Al -0.049 3.623 4.210
Al -1.708 3.620 8.808
Al 1.499 1.207 4.013
Al -0.161 1.207 8.611
Al 2.121 3.617 2.396
Al 0.462 3.626 6.994
Al 3.557 1.203 2.201
Al 1.898 1.212 6.799
Al 4.180 3.622 0.584
Al 2.520 3.622 5.182
Al 5.727 1.209 0.388
Al 4.068 1.205 4.985
Ag -0.496 3.621 1.450
Ag -2.155 3.622 6.047
Ag 6.175 1.207 3.148
Ag 4.515 1.207 7.746
```

Its density of states at the Fermi level is 5.2 states/eV per cell. For the energy of formation from the pure elements, the calculation gives -0.112 eV per atom. For the total magnetic moment, the calculation gives 0.000 μB/atom. The total energy comes out at -16.55 eV per formula unit.